A relaxed structure of Hf3MnF, computed with PBE+U.

Structure (POSCAR):
```
Hf3MnF
1.0
4.812 0.000 0.000
0.000 4.812 0.000
0.000 0.000 4.812
Hf Mn F
3 1 1
direct
0.000 0.000 0.500
0.000 0.500 0.000
0.500 0.000 0.000
0.000 0.000 0.000
0.500 0.500 0.500
```

Computed properties:
Spin magnetization, Bohr magnetons per cell: 0.00
E, Ry/atom: -0.51860
Space-group type: Pm-3m, No. 221